[1]
This record from the Alexandria database describes an optimized crystal structure of Zr6IrRu5. The functional is PBE.

Results
Symmetry: Immm, No. 71
Calculated formation energy, eV/atom: -0.6685

Unit cell a=4.6448 b=6.5764 c=8.0236 alpha=114.19 beta=106.83 gamma=90.00
Atoms (fractional coordinates):
Ru (0.6667, 0.6667, 0.3333)
Ir (0.0000, 0.0000, 0.0000)
Zr (0.1672, 0.9162, 0.3344)
Zr (0.1672, 0.4183, 0.3344)
Zr (0.5000, 0.7480, 0.0000)
Ru (0.6665, 0.1665, 0.3329)
Ru (0.0000, 0.5000, 0.0000)
Zr (0.8328, 0.5817, 0.6656)
Ru (0.3335, 0.8335, 0.6671)
Zr (0.8328, 0.0838, 0.6656)
Ru (0.3333, 0.3333, 0.6667)
Zr (0.5000, 0.2520, 0.0000)

---

[2]
This record from the Alexandria database describes an optimized crystal structure of NbFeNi4. The functional is PBE.

Results
Symmetry: P6/mmm, No. 191
Calculated formation energy, eV/atom: -0.0927

Unit cell a=4.0690 b=4.0690 c=5.0281 alpha=90.00 beta=90.00 gamma=119.99
Last column: magnetic moment on the atom in μB.
Atoms (fractional coordinates):
Fe (0.0000, 0.5000, 0.0000)  1.77
Ni (0.3337, 0.1670, 0.7625)  -0.03
Ni (0.6663, 0.8330, 0.2375)  -0.03
Ni (0.6670, 0.8337, 0.7625)  -0.03
Nb (0.0000, 0.5000, 0.5000)  -0.36
Ni (0.3330, 0.1663, 0.2375)  -0.03

---

[3]
This record from the Alexandria database describes an optimized crystal structure of LuAgSnIr. The functional is PBE.

Results
Symmetry: F-43m, No. 216
Calculated formation energy, eV/atom: -0.4531

Unit cell a=4.7797 b=4.7797 c=4.7797 alpha=60.00 beta=60.00 gamma=60.00
Atoms (fractional coordinates):
Ir (0.2500, 0.2500, 0.2500)
Ag (0.7500, 0.7500, 0.7500)
Lu (0.0000, 0.0000, 0.0000)
Sn (0.5000, 0.5000, 0.5000)

---

[4]
This record from the Alexandria database describes an optimized crystal structure of Ho7Sc12In. The functional is PBE.

Results
Symmetry: R-3, No. 148
Calculated formation energy, eV/atom: 0.1656

Unit cell a=8.2001 b=8.2001 c=8.2001 alpha=90.02 beta=90.02 gamma=90.02
Last column: magnetic moment on the atom in μB.
Atoms (fractional coordinates):
Sc (0.3762, 0.8558, 0.5033)  0.08
Sc (0.2548, 0.1297, 0.7297)  0.11
Ho (0.3820, 0.0441, 0.1523)  0.10
Sc (0.8558, 0.5033, 0.3762)  0.08
Ho (0.6180, 0.9559, 0.8477)  0.10
Sc (0.2703, 0.7452, 0.8703)  0.11
Ho (0.1523, 0.3820, 0.0441)  0.10
Sc (0.7297, 0.2548, 0.1297)  0.11
Sc (0.5033, 0.3762, 0.8558)  0.08
Sc (0.1297, 0.7297, 0.2548)  0.11
Sc (0.8703, 0.2703, 0.7452)  0.11
Ho (0.8477, 0.6180, 0.9559)  0.10
Sc (0.1442, 0.4967, 0.6238)  0.08
Sc (0.4967, 0.6238, 0.1442)  0.08
Ho (0.5000, 0.5000, 0.5000)  0.03
Ho (0.9559, 0.8477, 0.6180)  0.10
Sc (0.6238, 0.1442, 0.4967)  0.08
Sc (0.7452, 0.8703, 0.2703)  0.11
In (0.0000, 0.0000, 0.0000)  0.00
Ho (0.0441, 0.1523, 0.3820)  0.10

---

[5]
This record from the Alexandria database describes an optimized crystal structure of Sr3HN. The functional is PBE.

Results
Symmetry: P1, No. 1

Unit cell a=6.7603 b=6.7622 c=7.5868 alpha=63.52 beta=63.53 gamma=59.99
Atoms (fractional coordinates):
H (0.7181, 0.8443, 0.6376)
Sr (0.8213, 0.6038, 0.3782)
H (0.3936, 0.5208, 0.6081)
N (0.0619, 0.1885, 0.6054)
Sr (0.1143, 0.9481, 0.3782)
Sr (0.9696, 0.3887, 0.8772)
Sr (0.6824, 0.0961, 0.8774)
Sr (0.4771, 0.2411, 0.3781)
Sr (0.2620, 0.8090, 0.8775)
N (0.8827, 0.0093, 0.1431)

---

[6]
This record from the Alexandria database describes an optimized crystal structure of PmPa3Tl4O12. The functional is PBE.

Results
Formation energy (no corrections), eV per atom: -2.4639
Symmetry: Im-3m, No. 229

Unit cell a=7.6898 b=7.6898 c=7.6898 alpha=109.47 beta=109.47 gamma=109.47
Atoms (fractional coordinates):
O (0.2500, 0.7500, 0.5000)
O (0.7366, 0.7366, 0.0000)
O (0.5000, 0.7500, 0.2500)
Tl (0.0000, 0.0000, 0.5000)
Tl (0.5000, 0.5000, 0.5000)
Pa (0.5000, 0.5000, 0.0000)
O (0.2634, 0.2634, 0.0000)
O (0.7366, 0.0000, 0.7366)
Pa (0.5000, 0.0000, 0.5000)
Pa (0.0000, 0.5000, 0.5000)
Tl (0.5000, 0.0000, 0.0000)
O (0.7500, 0.2500, 0.5000)
Tl (0.0000, 0.5000, 0.0000)
O (0.2500, 0.5000, 0.7500)
O (0.2634, 0.0000, 0.2634)
O (0.0000, 0.2634, 0.2634)
O (0.7500, 0.5000, 0.2500)
O (0.5000, 0.2500, 0.7500)
O (0.0000, 0.7366, 0.7366)
Pm (0.0000, 0.0000, 0.0000)

---

[7]
This record from the Alexandria database describes an optimized crystal structure of CsAc2PbO4. The functional is PBE.

Results
Formation energy (no corrections), eV per atom: -2.1637
Symmetry: Cmcm, No. 63

Unit cell a=4.0404 b=7.2455 c=13.7021 alpha=90.00 beta=90.00 gamma=106.19
Atoms (fractional coordinates):
O (0.0000, 0.0000, 0.5000)
Cs (0.0284, 0.0568, 0.7500)
Ac (0.6345, 0.2690, 0.4575)
O (0.7715, 0.5429, 0.9311)
Pb (0.7599, 0.5198, 0.7500)
O (0.7715, 0.5429, 0.5689)
O (0.3565, 0.7130, 0.7500)
Ac (0.3655, 0.7310, 0.9575)
O (0.2285, 0.4571, 0.0689)
Cs (0.9716, 0.9432, 0.2500)
O (0.0000, 0.0000, 0.0000)
O (0.2285, 0.4571, 0.4311)
Ac (0.6345, 0.2690, 0.0425)
O (0.6435, 0.2870, 0.2500)
Ac (0.3655, 0.7310, 0.5425)
Pb (0.2401, 0.4802, 0.2500)

---

[8]
This record from the Alexandria database describes an optimized crystal structure of Zn2CuW. The functional is PBE.

Results
Symmetry: Cmmm, No. 65
Calculated formation energy, eV/atom: 0.1040

Unit cell a=2.6683 b=2.6683 c=8.0075 alpha=90.00 beta=90.00 gamma=97.06
Atoms (fractional coordinates):
Zn (0.0000, 0.0000, 0.4843)
W (0.5000, 0.5000, 0.7500)
Zn (0.0000, 0.0000, 0.0157)
Cu (0.5000, 0.5000, 0.2500)

---

[9]
This record from the Alexandria database describes an optimized crystal structure of PuSbAs2. The functional is PBE.

Results
Formation energy (no corrections), eV per atom: 0.0153
Symmetry: R-3m, No. 166

Unit cell a=4.1155 b=4.1155 c=8.7412 alpha=76.38 beta=76.38 gamma=60.00
Last column: magnetic moment on the atom in μB.
Atoms (fractional coordinates):
Sb (0.0000, 0.0000, 0.0000)  -0.01
As (0.8940, 0.8940, 0.3179)  -0.11
Pu (0.5000, 0.5000, 0.5000)  4.78
As (0.1060, 0.1060, 0.6821)  -0.11

---

[10]
This record from the Alexandria database describes an optimized crystal structure of LaReHN2. The functional is PBE.

Results
Symmetry: P4/mmm, No. 123

Unit cell a=3.9982 b=3.9982 c=3.7417 alpha=90.00 beta=90.00 gamma=90.00
Atoms (fractional coordinates):
La (0.5000, 0.5000, 0.5000)
N (0.0000, 0.5000, 0.0000)
Re (0.0000, 0.0000, 0.0000)
H (0.0000, 0.0000, 0.5000)
N (0.5000, 0.0000, 0.0000)

---

[11]
This record from the Alexandria database describes an optimized crystal structure of SmPa3Te6. The functional is PBE.

Results
Formation energy (no corrections), eV per atom: -0.5258
Symmetry: Cmmm, No. 65

Unit cell a=4.3918 b=9.6053 c=9.6053 alpha=108.70 beta=90.00 gamma=90.00
Last column: magnetic moment on the atom in μB.
Atoms (fractional coordinates):
Pa (0.0000, 0.0000, 0.0000)  1.51
Te (0.0000, 0.6674, 0.9002)  -0.04
Te (0.0000, 0.0998, 0.3326)  -0.04
Te (0.5000, 0.3474, 0.6526)  -0.03
Te (0.5000, 0.6526, 0.3474)  -0.03
Te (0.0000, 0.3326, 0.0998)  -0.04
Pa (0.5000, 0.5000, 0.0000)  1.36
Sm (0.0000, 0.5000, 0.5000)  0.14
Te (0.0000, 0.9002, 0.6674)  -0.04
Pa (0.5000, 0.0000, 0.5000)  1.36

---

[12]
This record from the Alexandria database describes an optimized crystal structure of BaSi4Rh6. The functional is PBE.

Results
Formation energy (no corrections), eV per atom: -0.7899
Symmetry: P-6m2, No. 187

Unit cell a=3.8266 b=7.1652 c=7.1652 alpha=120.00 beta=90.00 gamma=90.00
Atoms (fractional coordinates):
Rh (0.5000, 0.2028, 0.7972)
Si (0.5000, 0.7933, 0.2067)
Rh (0.0000, 0.9330, 0.4665)
Rh (0.5000, 0.5945, 0.7972)
Ba (0.0000, 0.0000, 0.0000)
Si (0.0000, 0.3333, 0.6667)
Rh (0.0000, 0.5335, 0.4665)
Rh (0.0000, 0.5335, 0.0670)
Si (0.5000, 0.7933, 0.5865)
Rh (0.5000, 0.2028, 0.4055)
Si (0.5000, 0.4135, 0.2067)

---

[13]
This record from the Alexandria database describes an optimized crystal structure of ScFeSi2. The functional is PBE.

Results
Formation energy (no corrections), eV per atom: -0.1491
Symmetry: R-3m, No. 166

Unit cell a=8.1668 b=8.1668 c=8.1668 alpha=20.75 beta=20.75 gamma=20.75
Last column: magnetic moment on the atom in μB.
Atoms (fractional coordinates):
Sc (0.7500, 0.7500, 0.7500)  0.13
Si (0.5132, 0.5132, 0.5132)  -0.02
Fe (0.2500, 0.2500, 0.2500)  1.29
Si (0.9868, 0.9868, 0.9868)  -0.02

---

[14]
This record from the Alexandria database describes an optimized crystal structure of RbScAs2Se. The functional is PBE.

Results
Formation energy (no corrections), eV per atom: 1.1697
Symmetry: P4/mmm, No. 123

Unit cell a=5.3772 b=5.3772 c=5.5661 alpha=90.00 beta=90.00 gamma=90.00
Atoms (fractional coordinates):
As (0.5000, 0.0000, 0.0000)
Sc (0.5000, 0.5000, 0.5000)
As (0.0000, 0.5000, 0.0000)
Se (0.0000, 0.0000, 0.5000)
Rb (0.0000, 0.0000, 0.0000)

---

[15]
This record from the Alexandria database describes an optimized crystal structure of Ca2LaSbH. The functional is PBE.

Results
Symmetry: P4/mmm, No. 123

Unit cell a=5.0094 b=5.0094 c=4.9065 alpha=90.00 beta=90.00 gamma=90.00
Last column: magnetic moment on the atom in μB.
Atoms (fractional coordinates):
La (0.0000, 0.0000, 0.5000)  0.29
H (0.0000, 0.0000, 0.0000)  -0.01
Ca (0.5000, 0.0000, 0.0000)  0.08
Sb (0.5000, 0.5000, 0.5000)  -0.01
Ca (0.0000, 0.5000, 0.0000)  0.08

---

[16]
This record from the Alexandria database describes an optimized crystal structure of CrFe2As. The functional is PBE.

Results
Symmetry: P4/mmm, No. 123
Calculated formation energy, eV/atom: 0.1442

Unit cell a=3.0070 b=3.0070 c=5.2769 alpha=90.00 beta=90.00 gamma=90.00
Last column: magnetic moment on the atom in μB.
Atoms (fractional coordinates):
As (0.5000, 0.5000, 0.2500)  -0.01
Fe (0.0000, 0.0000, 0.9966)  1.16
Fe (0.0000, 0.0000, 0.5034)  1.16
Cr (0.5000, 0.5000, 0.7500)  0.89

---

[17]
This record from the Alexandria database describes an optimized crystal structure of BH3W. The functional is PBE.

Results
Symmetry: Pm-3m, No. 221

Unit cell a=3.0735 b=3.0735 c=3.0735 alpha=90.00 beta=90.00 gamma=90.00
Atoms (fractional coordinates):
W (0.5000, 0.5000, 0.5000)
H (0.0000, 0.0000, 0.5000)
H (0.0000, 0.5000, 0.0000)
H (0.5000, 0.0000, 0.0000)
B (0.0000, 0.0000, 0.0000)

---

[18]
This record from the Alexandria database describes an optimized crystal structure of Na3TaAl. The functional is PBE.

Results
Symmetry: Pm-3m, No. 221
Calculated formation energy, eV/atom: 1.6862

Unit cell a=5.8717 b=5.8717 c=5.8717 alpha=90.00 beta=90.00 gamma=90.00
Last column: magnetic moment on the atom in μB.
Atoms (fractional coordinates):
Ta (0.0000, 0.0000, 0.0000)  2.50
Na (0.0000, 0.0000, 0.5000)  0.03
Al (0.5000, 0.5000, 0.5000)  0.00
Na (0.5000, 0.0000, 0.0000)  0.05
Na (0.0000, 0.5000, 0.0000)  0.04

---

[19]
This record from the Alexandria database describes an optimized crystal structure of K3Dy2ZrS6. The functional is PBE.

Results
Formation energy (no corrections), eV per atom: -1.7304
Symmetry: C2/m, No. 12

Unit cell a=6.8449 b=6.8449 c=7.7366 alpha=98.49 beta=98.49 gamma=120.00
Atoms (fractional coordinates):
S (0.7467, 0.7467, 0.2021)
Zr (0.0000, 0.0000, 0.0000)
K (0.1689, 0.8311, 0.5000)
Dy (0.3335, 0.6665, 0.0000)
S (0.9327, 0.6118, 0.7984)
S (0.0673, 0.3882, 0.2016)
Dy (0.6665, 0.3335, 0.0000)
S (0.3882, 0.0673, 0.2016)
S (0.2533, 0.2533, 0.7979)
S (0.6118, 0.9327, 0.7984)
K (0.8311, 0.1689, 0.5000)
K (0.5000, 0.5000, 0.5000)

---

[20]
This record from the Alexandria database describes an optimized crystal structure of Ho2NbCo. The functional is PBE.

Results
Symmetry: R-3m, No. 166
Calculated formation energy, eV/atom: 0.5508

Unit cell a=3.2149 b=3.2149 c=10.0204 alpha=80.77 beta=80.77 gamma=60.00
Last column: magnetic moment on the atom in μB.
Atoms (fractional coordinates):
Ho (0.8990, 0.8990, 0.3031)  0.01
Ho (0.1010, 0.1010, 0.6969)  0.01
Co (0.5000, 0.5000, 0.5000)  0.23
Nb (0.0000, 0.0000, 0.0000)  0.57

---

The total moment results, record by record, are as follows: 0.000 1.164 0.000 2.772 0.000 0.000 0.000 0.000 4.486 0.000 5.250 0.000 1.413 0.000 1.031 3.195 0.000 4.542 0.000 0.858 μB/cell.
The total DFT energy (no corrections) results, record by record, are as follows: -114.6 -42.2 -22.0 -107.4 -18.6 -151.5 -49.9 -19.2 -27.7 -41.1 -57.3 -76.4 -26.2 -14.2 -19.1 -30.6 -25.1 -11.1 -66.6 -24.1 eV/f.u..